Computed, not measured: Pt2RhSe after structural relaxation at the PBE level of DFT.

Results
Formation energy (no corrections) in eV/f.u.: 0.38
Crystal system: tetragonal

a b c (Å): 2.9428 2.9428 7.3356
angles (deg): 90.00 90.00 90.00
Closest atoms and distances in Å follow each position.
Space group P4mm (No. 99)
Inequivalent atoms, fractional coordinates:
Pt1 0.0000 0.0000 0.0000 [1 per cell]  8 Pt 2.82-2.94, 4 Se 2.87
Pt2 0.5000 0.5000 0.2596 [1 per cell]  8 Pt 2.82-2.94, 4 Rh 2.83
Rh1 0.0000 0.0000 0.5219 [1 per cell]  4 Se 2.59, 4 Pt 2.83
Se1 0.5000 0.5000 0.7310 [1 per cell]  4 Rh 2.59, 4 Pt 2.87

---

Computed, not measured: PtRhSe2 after structural relaxation at the PBE level of DFT.

Results
Formation energy (no corrections) in eV/f.u.: -0.82
Crystal system: orthorhombic

a b c (Å): 3.8723 3.9225 11.6461
angles (deg): 90.00 90.00 90.00
Closest atoms and distances in Å follow each position.
Space group Immm (No. 71)
Inequivalent atoms, fractional coordinates:
Pt1 0.0000 0.0000 0.0000 [2 per cell]  4 Se 2.54, 4 Rh 2.76
Rh1 0.0000 0.0000 0.5000 [2 per cell]  4 Se 2.52, 4 Pt 2.76
Se1 0.0000 0.5000 0.1386 [4 per cell]  2 Rh 2.52, 2 Pt 2.54

---

Computed, not measured: PtRh2Se after structural relaxation at the PBE level of DFT.

Results
Formation energy (no corrections) in eV/f.u.: 1.13
Crystal system: orthorhombic

a b c (Å): 2.7778 4.8313 9.4416
angles (deg): 90.00 90.00 90.00
Closest atoms and distances in Å follow each position.
Space group Cmm2 (No. 35)
Inequivalent atoms, fractional coordinates:
Pt1 0.0000 0.0000 0.0000 [2 per cell]  2 Rh 2.73, 6 Pt 2.78-2.79, 2 Se 2.97
Rh1 0.0000 0.0000 0.4888 [2 per cell]  2 Se 2.60, 8 Rh 2.66-2.79
Rh2 0.0000 0.5000 0.2484 [2 per cell]  8 Rh 2.66-2.79, 2 Pt 2.73
Se1 0.0000 0.5000 0.7220 [2 per cell]  2 Rh 2.60, 6 Se 2.78-2.79

---

Computed, not measured: Pt2RhSe after structural relaxation at the PBE level of DFT.

Results
Formation energy (no corrections) in eV/f.u.: 0.16
Crystal system: monoclinic

a b c (Å): 4.4167 3.3632 4.5823
angles (deg): 90.00 106.36 90.00
Closest atoms and distances in Å follow each position.
Space group Pm (No. 6)
Inequivalent atoms, fractional coordinates:
Pt1 0.0000 0.0000 0.0000 [1 per cell]  2 Se 2.54, 2 Rh 2.76-2.78, 2 Pt 2.78
Pt2 0.4401 0.5000 0.8571 [1 per cell]  1 Se 2.43
Rh1 0.5947 0.0000 0.4194 [1 per cell]  2 Se 2.42
Se1 0.9854 0.5000 0.4102 [1 per cell]  2 Rh 2.42, 3 Pt 2.43-2.54

---

Computed, not measured: PtRhSe2 after structural relaxation at the PBE level of DFT.

Results
Formation energy (no corrections) in eV/f.u.: -0.16
Crystal system: monoclinic

a b c (Å): 10.4553 3.6406 3.7207
angles (deg): 90.00 90.34 90.00
Closest atoms and distances in Å follow each position.
Space group Cm (No. 8)
Inequivalent atoms, fractional coordinates:
Pt1 0.0000 0.0000 0.0000 [2 per cell]  5 Se 2.54-2.68, 1 Rh 2.74
Rh1 0.2807 0.5000 0.4014 [2 per cell]  5 Se 2.52-2.76, 1 Pt 2.74
Se1 0.0387 0.5000 0.4827 [2 per cell]  1 Rh 2.55, 4 Pt 2.59-2.68
Se2 0.2422 0.0000 0.9466 [2 per cell]  4 Rh 2.52-2.76, 1 Pt 2.54

---

Computed, not measured: PtRh2Se after structural relaxation at the PBE level of DFT.

Results
Formation energy (no corrections) in eV/f.u.: 0.43
Crystal system: monoclinic

a b c (Å): 9.2920 2.9287 4.7871
angles (deg): 90.00 106.52 90.00
Closest atoms and distances in Å follow each position.
Space group Cm (No. 8)
Inequivalent atoms, fractional coordinates:
Pt1 0.0000 0.0000 0.0000 [2 per cell]  2 Se 2.75, 7 Rh 2.76-2.84, 2 Pt 2.93
Rh1 0.2415 0.0000 0.7670 [2 per cell]  2 Se 2.50, 3 Pt 2.76-2.78
Rh2 0.4758 0.0000 0.4917 [2 per cell]  3 Se 2.60-2.71, 4 Pt 2.79-2.84, 3 Rh 2.85
Se1 0.2352 0.5000 0.3408 [2 per cell]  5 Rh 2.50-2.71, 2 Pt 2.75

---

What did we get for spin magnetization? Answer: 0.00, 0.00, 0.00, 0.00, 0.00, 0.00 μB/f.u., in the order shown.